{
  "formula": "SrBe2Zn",
  "functional": "PBE-GGA",
  "state": "optimized geometry",
  "lattice": [[-1.3391, -4.0592, -2.4814], [3.3959, 0.7301, -3.5161], [0.4414, -0.7811, 4.8603]],
  "species": ["Be", "Sr", "Be", "Zn"],
  "frac_coords": [[0.0507, 0.0507, 0.0000], [0.4860, 0.4860, 0.0000], [0.1444, 0.6444, 0.5000], [0.8189, 0.3189, 0.5000]],
  "vol_a3_per_cell": 79.60,
  "ef_ev_per_atom": 0.404,
  "crystal_system": "orthorhombic",
  "space_group": "Imm2"
}